La3Pm4DyS8: relaxed, PBE.

Output
The value obtained for the formation energy without anion corrections is -2.07 eV/atom. The volume comes out at 380.1 Å³ per cell.

POSCAR file:
```
La3Pm4DyS8
1.0
-5.377 4.863 -3.696
-5.424 -1.556 5.843
7.381 2.826 1.938
Dy S Pm La
1 8 4 3
Direct
0.000 0.500 0.000
0.755 0.250 0.995
0.755 0.249 0.509
0.753 0.758 0.505
0.245 0.750 0.005
0.245 0.751 0.491
0.760 0.750 0.005
0.240 0.250 0.995
0.247 0.242 0.495
0.000 0.000 0.500
0.000 0.000 0.000
0.500 0.000 0.500
0.500 0.000 0.000
0.500 0.500 0.000
0.500 0.500 0.500
0.000 0.500 0.500
```

La2Pm3DyS6: relaxed, PBE.

Output
The value obtained for the formation energy without anion corrections is -2.07 eV/atom. The volume comes out at 282.5 Å³ per cell.

POSCAR file:
```
La2Pm3DyS6
1.0
7.034 -0.007 -0.003
-3.521 6.089 -0.003
-1.175 -2.034 6.602
Pm S La Dy
3 6 2 1
Direct
0.170 0.830 0.500
0.830 0.170 0.500
0.500 0.500 0.500
0.237 0.237 0.746
0.763 0.763 0.254
0.594 0.917 0.750
0.083 0.406 0.250
0.917 0.594 0.750
0.406 0.083 0.250
0.666 0.334 0.000
0.334 0.666 0.000
0.000 0.000 0.000
```

LaPmDy4S8: relaxed, PBE.

Output
The value obtained for the formation energy without anion corrections is -1.95 eV/atom. The volume comes out at 384.1 Å³ per cell.

POSCAR file:
```
LaPmDy4S8
1.0
8.134 0.000 0.000
4.067 7.045 0.000
4.067 2.348 6.703
S Dy La Pm
8 4 1 1
Direct
0.233 0.751 0.265
0.758 0.758 0.727
0.243 0.243 0.730
0.751 0.233 0.265
0.785 0.243 0.730
0.243 0.785 0.730
0.237 0.237 0.289
0.751 0.751 0.265
0.503 0.999 0.499
0.626 0.626 0.123
0.999 0.999 0.499
0.999 0.503 0.499
0.374 0.374 0.878
0.999 0.999 0.003
```

La2PmDyS4: relaxed, PBE.

Output
The value obtained for the formation energy without anion corrections is -2.09 eV/atom. The volume comes out at 189.6 Å³ per cell.

POSCAR file:
```
La2PmDyS4
1.0
4.027 0.000 0.000
0.000 7.030 0.133
0.000 -2.445 6.653
Dy S La Pm
1 4 2 1
Direct
0.000 0.000 0.000
0.500 0.762 0.767
0.500 0.238 0.233
0.000 0.752 0.237
0.000 0.248 0.763
0.500 0.000 0.500
0.000 0.500 0.500
0.500 0.500 0.000
```

LaPmDy2S4: relaxed, PBE.

Output
The value obtained for the formation energy without anion corrections is -2.05 eV/atom. The volume comes out at 181.0 Å³ per cell.

POSCAR file:
```
LaPmDy2S4
1.0
-1.928 -3.442 -0.174
0.539 0.051 -7.012
5.837 -3.178 -1.808
Dy S Pm La
2 4 1 1
Direct
0.500 0.000 0.500
0.000 0.000 0.000
0.500 0.235 0.752
0.000 0.232 0.260
0.000 0.768 0.740
0.500 0.765 0.248
0.000 0.500 0.500
0.500 0.500 0.000
```

LaPm2Dy3S6: relaxed, PBE.

Output
The value obtained for the formation energy without anion corrections is -2.04 eV/atom. The volume comes out at 269.4 Å³ per cell.

POSCAR file:
```
LaPm2Dy3S6
1.0
6.883 -0.011 -0.002
-3.449 5.956 -0.002
-1.147 -1.986 6.578
Dy S La Pm
3 6 1 2
Direct
0.834 0.166 0.500
0.500 0.500 0.500
0.166 0.834 0.500
0.751 0.751 0.264
0.574 0.911 0.735
0.426 0.089 0.265
0.249 0.249 0.736
0.911 0.574 0.735
0.089 0.426 0.265
0.000 0.000 0.000
0.333 0.667 0.000
0.667 0.333 0.000
```

LaPm2DyS4: relaxed, PBE.

Output
The value obtained for the formation energy without anion corrections is -2.05 eV/atom. The volume comes out at 185.7 Å³ per cell.

POSCAR file:
```
LaPm2DyS4
1.0
-3.456 0.843 1.831
-3.483 -1.307 -5.973
0.510 -5.907 3.684
Dy Pm S La
1 2 4 1
Direct
0.500 0.500 0.000
0.500 0.000 0.500
0.000 0.500 0.500
0.000 0.739 0.244
0.500 0.740 0.749
0.500 0.260 0.251
0.000 0.261 0.756
0.000 0.000 0.000
```

La3Pm2DySb6: relaxed, PBE.

Output
The value obtained for the formation energy without anion corrections is -1.22 eV/atom. The volume comes out at 397.6 Å³ per cell.

POSCAR file:
```
La3Pm2DySb6
1.0
7.870 0.000 0.001
-3.934 6.817 0.001
-1.313 -2.273 7.411
La Sb Pm Dy
3 6 2 1
Direct
0.168 0.832 0.500
0.832 0.168 0.500
0.500 0.500 0.500
0.920 0.590 0.759
0.410 0.080 0.241
0.080 0.410 0.241
0.751 0.751 0.242
0.590 0.920 0.759
0.249 0.249 0.758
0.334 0.666 0.000
0.666 0.334 0.000
0.000 0.000 0.000
```